! VOF2 | Alexandria | PBE+U | relaxed; values from VASP
! Density of states at the Fermi level (states/eV/cell): 2.0
! E_tot (eV for the cell shown): -84.14
! Crystal system: tetragonal
&SYSTEM
  ibrav = 0, nat = 16, ntyp = 3
/
ATOMIC_SPECIES
V 50.94 V.upf
O 16.00 O.upf
F 19.00 F.upf
CELL_PARAMETERS angstrom
3.454 0.000 0.000
0.000 3.454 0.000
0.000 0.000 14.092
ATOMIC_POSITIONS crystal
V 0.000 0.000 0.000
V 0.000 0.500 0.250
V 0.500 0.000 0.750
V 0.500 0.500 0.500
O 0.000 0.000 0.500
O 0.000 0.500 0.750
O 0.500 0.000 0.250
O 0.500 0.500 0.000
F 0.209 0.250 0.125
F 0.250 0.709 0.375
F 0.250 0.791 0.875
F 0.291 0.250 0.625
F 0.709 0.750 0.625
F 0.750 0.209 0.875
F 0.750 0.291 0.375
F 0.791 0.750 0.125